Record 1
Entry from the Alexandria database: a geometry-optimized BaMn2S2 structure (GGA-PBEsol).

a b c (Å): 4.6144 4.6144 9.3331
angles (deg): 90.00 90.00 90.00
Atoms (fractional coordinates):
Ba (0.0000, 0.0000, 0.0000)
Ba (0.5000, 0.5000, 0.5000)
Mn (0.0000, 0.0000, 0.3478)
Mn (0.0000, 0.0000, 0.6522)
Mn (0.5000, 0.5000, 0.1522)
Mn (0.5000, 0.5000, 0.8478)
S (0.0000, 0.5000, 0.2500)
S (0.0000, 0.5000, 0.7500)
S (0.5000, 0.0000, 0.2500)
S (0.5000, 0.0000, 0.7500)

Results
The value obtained for the size of the total moment is 1.58 μB/atom. The final energy comes out at -6.64 eV per atom. Its formation energy without anion corrections is -0.553 eV per atom. The density of states at the Fermi level comes out at 1.03 states/eV/atom.


Record 2
Entry from the Alexandria database: a geometry-optimized Ba3MnS structure (GGA-PBEsol).

a b c (Å): 6.0180 6.0180 6.0180
angles (deg): 90.00 90.00 90.00
Atoms (fractional coordinates):
Ba (0.0000, 0.0000, 0.5000)
Ba (0.0000, 0.5000, 0.0000)
Ba (0.5000, 0.0000, 0.0000)
Mn (0.5000, 0.5000, 0.5000)
S (0.0000, 0.0000, 0.0000)

Results
The value obtained for the size of the total moment is 0.80 μB/atom. The final energy comes out at -4.37 eV per atom. Its formation energy without anion corrections is -0.255 eV per atom. The density of states at the Fermi level comes out at 1.37 states/eV/atom.


Record 3
Entry from the Alexandria database: a geometry-optimized BaMnSb2 structure (GGA-PBEsol).

a b c (Å): 3.5790 3.9573 15.7282
angles (deg): 90.00 90.00 90.00
Atoms (fractional coordinates):
Ba (0.0000, 0.0000, 0.0000)
Ba (0.5000, 0.5000, 0.5000)
Mn (0.0000, 0.5000, 0.7383)
Mn (0.5000, 0.0000, 0.2383)
Sb (0.0000, 0.0000, 0.3620)
Sb (0.0000, 0.5000, 0.1806)
Sb (0.5000, 0.0000, 0.6806)
Sb (0.5000, 0.5000, 0.8620)

Results
The value obtained for the size of the total moment is 0.78 μB/atom. The final energy comes out at -5.40 eV per atom. Its formation energy without anion corrections is -0.145 eV per atom. The density of states at the Fermi level comes out at 0.52 states/eV/atom.